The following is a PBE calculation of a relaxed TbGdAs2Os2O2 crystal, from the Open Quantum Materials Database.

Properties
* energy: -0.592 Ry per atom
* space group: P4mm
* magnetization: 0.0022 μB/atom

Cell: 4.0665 4.0665 8.0030 Å, 90.00 90.00 90.00°
Closest atoms and distances in Å follow each position.
Sites, in units of the cell vectors:
Os (0.0000, 0.5000, 0.5004)  4 As 2.45
Os (0.5000, 0.0000, 0.5004)  4 As 2.45
O (0.0000, 0.5000, 0.9988)  2 Tb 2.29, 2 Gd 2.30
As (0.0000, 0.0000, 0.6721)  4 Os 2.45
As (0.5000, 0.5000, 0.3285)  4 Os 2.45
Gd (0.0000, 0.0000, 0.1327)  4 O 2.30
O (0.5000, 0.0000, 0.9988)  2 Tb 2.29, 2 Gd 2.30
Tb (0.5000, 0.5000, 0.8682)  4 O 2.29